This record from Alexandria via LeMat-Bulk describes a geometry-optimized RbNa2ReRh structure. The functional is PBE.

The value obtained for the formation energy is 978 meV/atom.

The space group is P4/mmm (No. 123) and the conventional cell measures 5.832, 5.832 and 4.654 Å, with angles of 90.00, 90.00 and 90.00 degrees. The asymmetric unit holds Rb at (0.000, 0.000, 0.000), Na at (0.000, 0.500, 0.500), Re at (0.500, 0.500, 0.500) and Rh at (0.500, 0.500, 0.000).